[1]
Rb2TaF7: relaxed, PBE-GGA.

abc: 7.2078 7.9802 8.4852
angles: 74.43 64.87 63.15
Closest atoms and distances in Å follow each position.
Atoms (fractional coordinates):
Rb  0.6101  0.9049  0.7267  7 F 2.80-2.95
Rb  0.7582  0.4049  0.2267  7 F 2.80-2.95
Rb  0.2418  0.5951  0.7733  7 F 2.80-2.95
Rb  0.3899  0.0951  0.2733  7 F 2.80-2.95
Ta  0.8864  0.2500  0.7500  7 F 1.96-2.03
Ta  0.1136  0.7500  0.2500  7 F 1.96-2.03
F  0.6837  0.5198  0.7528  1 Ta 1.98
F  0.0438  0.0198  0.2528  1 Ta 1.98
F  0.2558  0.8100  0.9990  1 Ta 1.96
F  0.2171  0.1358  0.6439  1 Ta 1.99
F  0.6053  0.2500  0.7500  1 Ta 2.03
F  0.9352  0.3100  0.4990  1 Ta 1.96
F  0.9968  0.3642  0.8561  1 Ta 1.99
F  0.0032  0.6358  0.1439  1 Ta 1.99
F  0.0648  0.6900  0.5010  1 Ta 1.96
F  0.3947  0.7500  0.2500  1 Ta 2.03
F  0.7829  0.8642  0.3561  1 Ta 1.99
F  0.7442  0.1900  0.0010  1 Ta 1.96
F  0.9562  0.9802  0.7472  1 Ta 1.98
F  0.3163  0.4802  0.2472  1 Ta 1.98

Energy, eV for the cell shown: -117.7
V, A^3/atom: 19.623
Distance to the lowest polymorph of the same formula, eV per atom: 0.0176
DOS(E_F), states/eV/cell: 0.00
Formation energy from raw total energies, eV/atom: -3.195

[2]
RbTaF3: relaxed, PBE-GGA.

abc: 4.8569 4.8569 4.8569
angles: 90.00 90.00 90.00
Closest atoms and distances in Å follow each position.
Atoms (fractional coordinates):
F  0.0000  0.5000  0.0000  2 Rb 2.43
F  0.0000  0.0000  0.5000  2 Rb 2.43
F  0.5000  0.0000  0.0000  2 Rb 2.43
Rb  0.0000  0.0000  0.0000  6 F 2.43
Ta  0.5000  0.5000  0.5000  12 F 3.43

Energy, eV for the cell shown: -19.8
V, A^3/atom: 22.914
Distance to the lowest polymorph of the same formula, eV per atom: 1.6686
DOS(E_F), states/eV/cell: 6.03
Formation energy from raw total energies, eV/atom: -0.270

[3]
RbTa2F: relaxed, PBE-GGA.

abc: 4.8253 4.8253 4.8253
angles: 60.00 60.00 60.00
Closest atoms and distances in Å follow each position.
Atoms (fractional coordinates):
F  0.0000  0.0000  0.0000  8 Ta 2.95
Rb  0.5000  0.5000  0.5000  8 Ta 2.95
Ta  0.2500  0.2500  0.2500  4 Rb 2.95, 4 F 2.95
Ta  0.7500  0.7500  0.7500  4 F 2.95, 4 Rb 2.95

Energy, eV for the cell shown: -18.8
V, A^3/atom: 19.861
Distance to the lowest polymorph of the same formula, eV per atom: 0.9566
DOS(E_F), states/eV/cell: 5.38
Formation energy from raw total energies, eV/atom: 1.944

[4]
RbTa3F: relaxed, PBE-GGA.

abc: 4.8640 4.8640 4.8640
angles: 90.00 90.00 90.00
Closest atoms and distances in Å follow each position.
Atoms (fractional coordinates):
F  0.5000  0.5000  0.5000  12 Ta 3.44
Rb  0.0000  0.0000  0.0000  6 Ta 2.43
Ta  0.0000  0.5000  0.0000  2 Rb 2.43
Ta  0.0000  0.0000  0.5000  2 Rb 2.43
Ta  0.5000  0.0000  0.0000  2 Rb 2.43

Energy, eV for the cell shown: -22.0
V, A^3/atom: 23.015
Distance to the lowest polymorph of the same formula, eV per atom: 2.0065
DOS(E_F), states/eV/cell: 6.30
Formation energy from raw total energies, eV/atom: 3.273